First-principles (GGA-PBE) data for a relaxed structure of KSb2Au, as listed in Alexandria via LeMat-Bulk.

Results
As for the distance to the lowest polymorph of the same formula: 110 meV/atom. The value obtained for the calculated volume is 129.4 Å³/f.u. The uncorrected formation energy is -202.7 meV per atom.

a b c (Å): 5.870 5.870 6.266
angles (deg): 109.92 109.92 40.02
Sites, in units of the cell vectors:
K 0.000 0.000 0.000
Sb 0.195 0.195 0.618
Sb 0.805 0.805 0.382
Au 0.500 0.500 0.500

First-principles (GGA-PBE) data for a relaxed structure of KSb2Au, as listed in Alexandria via LeMat-Bulk.

Results
As for the distance to the lowest polymorph of the same formula: 142 meV/atom. The value obtained for the calculated volume is 127.5 Å³/f.u. The uncorrected formation energy is -169.8 meV per atom.

a b c (Å): 8.053 8.053 8.053
angles (deg): 31.62 31.62 31.62
Sites, in units of the cell vectors:
K 0.000 0.000 0.000
Sb 0.220 0.220 0.220
Sb 0.780 0.780 0.780
Au 0.500 0.500 0.500